Model w:
DFT (GGA-PBEsol) results for a relaxed CaH8Cl2O4 crystal.

ρ, g/cm3: 1.6

Lattice parameters (Å, degrees): 5.993 7.680 8.731 90.00 110.33 90.00
Space group P2_1/c (No. 14)
Inequivalent atoms, fractional coordinates:
Ca 0.000 0.000 0.000 x2
H 0.103 0.071 0.358 x4
H 0.104 0.067 0.691 x4
H 0.424 0.722 0.519 x4
H 0.428 0.699 0.699 x4
Cl 0.300 0.216 0.571 x4
O 0.000 0.001 0.265 x4
O 0.323 0.686 0.583 x4

Model x:
DFT (GGA-PBEsol) results for a relaxed CaH8Cl2O4 crystal.

ρ, g/cm3: 2.0

Lattice parameters (Å, degrees): 6.237 6.476 8.183 93.93 96.08 111.27
Space group P-1 (No. 2)
Inequivalent atoms, fractional coordinates:
Ca 0.002 0.381 0.244 x2
H 0.197 0.831 0.437 x2
H 0.241 0.114 0.077 x2
H 0.247 0.055 0.669 x2
H 0.255 0.313 0.966 x2
H 0.308 0.394 0.687 x2
H 0.359 0.710 0.503 x2
H 0.416 0.052 0.826 x2
H 0.465 0.582 0.836 x2
Cl 0.233 0.771 0.095 x2
Cl 0.282 0.208 0.456 x2
O 0.191 0.685 0.472 x2
O 0.250 0.986 0.774 x2
O 0.267 0.276 0.083 x2
O 0.300 0.478 0.791 x2

The winner here is model x, beating the second structure by 6 meV per atom.